# VMoRhO2, optimized geometry, DFT PBE+U
# E_tot in eV per atom: -5.697
# V in Å³/atom: 15.46
# Spin magnetization in Bohr magnetons per cell: 2.2
data_VMoRhO2
_cell_length_a 4.035
_cell_length_b 4.035
_cell_length_c 4.748
_cell_angle_alpha 90.00
_cell_angle_beta 90.00
_cell_angle_gamma 90.00
_space_group_name_H-M_alt 'P 4/m m m'
_space_group_IT_number 123
_space_group_name_Hall '-P 4 2'
loop_
_atom_site_label
_atom_site_type_symbol
_atom_site_fract_x
_atom_site_fract_y
_atom_site_fract_z
V1 V 0.000 0.000 0.000
Mo1 Mo 0.500 0.500 0.000
Rh1 Rh 0.000 0.000 0.500
O1 O 0.000 0.500 0.500